First-principles (GGA+U) data for an optimized crystal structure of CoAgNO, as listed in OQMD via LeMat-Bulk.

Lattice parameters (Å, degrees): 4.9806 5.3869 7.1966 90.00 90.00 90.00
Last column: nearest neighbours and their distance in Å.
Fractional positions:
O 0.0798 0.4705 0.6637  1 Co 1.79
Co 0.9658 0.0850 0.1162  1 O 1.79, 3 N 1.81-1.84
O 0.5798 0.0295 0.6637  1 Co 1.79
Ag 0.5515 0.4750 0.6455  1 N 2.20, 3 O 2.25-2.41
Co 0.9658 0.5850 0.8838  1 O 1.79, 3 N 1.81-1.84
O 0.5798 0.5295 0.3363  1 Co 1.79
N 0.6053 0.1058 0.0670  3 Co 1.81-1.84
N 0.1053 0.3942 0.0670  3 Co 1.81-1.84
N 0.6053 0.6058 0.9330  3 Co 1.81-1.84
Ag 0.5515 0.9750 0.3545  1 N 2.20, 3 O 2.25-2.41
O 0.0798 0.9705 0.3363  1 Co 1.79
N 0.1053 0.8942 0.9330  3 Co 1.81-1.84
Co 0.4658 0.9150 0.8838  1 O 1.79, 3 N 1.81-1.84
Ag 0.0515 0.5250 0.3545  1 N 2.20, 3 O 2.25-2.41
Co 0.4658 0.4150 0.1162  1 O 1.79, 3 N 1.81-1.84
Ag 0.0515 0.0250 0.6455  1 N 2.20, 3 O 2.25-2.41

Summary:
E above lowest polymorph ... 4 kJ/mol of formula units
Space-group type ... Pca2_1
Volume ... 193 Å³ per cell

First-principles (GGA+U) data for an optimized crystal structure of CoAgNO, as listed in OQMD via LeMat-Bulk.

Lattice parameters (Å, degrees): 3.8708 3.8708 7.0896 90.00 90.00 89.97
Last column: nearest neighbours and their distance in Å.
Fractional positions:
O 0.2500 0.7500 0.0000  4 Co 2.04
N 0.2500 0.2500 0.6642  1 Co 1.75
Co 0.7500 0.7500 0.0893  1 N 1.75
O 0.7500 0.2500 0.0000  4 Co 2.04
Ag 0.2500 0.7500 0.5000  4 N 2.26
Co 0.2500 0.2500 0.9107  1 N 1.75
N 0.7500 0.7500 0.3358  1 Co 1.75
Ag 0.7500 0.2500 0.5000  4 N 2.26

Summary:
E above lowest polymorph ... 25 kJ/mol of formula units
Space-group type ... P4/nmm
Volume ... 106 Å³ per cell

First-principles (GGA+U) data for an optimized crystal structure of CoAgNO, as listed in OQMD via LeMat-Bulk.

Lattice parameters (Å, degrees): 3.1716 5.4823 5.8403 90.00 90.00 90.00
Last column: nearest neighbours and their distance in Å.
Fractional positions:
Ag 0.5000 0.4935 0.8241  2 N 2.17, 2 O 2.24-2.34
Co 0.0000 0.5062 0.3570  2 N 1.80-1.81, 2 O 1.89
O 0.5000 0.9189 0.7982  2 Co 1.89
Co 0.0000 0.0062 0.6430  2 N 1.80-1.81, 2 O 1.89
N 0.0000 0.3354 0.6196  2 Co 1.80-1.81
N 0.0000 0.8354 0.3804  2 Co 1.80-1.81
Ag 0.5000 0.9935 0.1759  2 N 2.17, 2 O 2.24-2.34
O 0.5000 0.4189 0.2018  2 Co 1.89

Summary:
E above lowest polymorph ... 0 kJ/mol of formula units
Space-group type ... Pmc2_1
Volume ... 102 Å³ per cell

First-principles (GGA+U) data for an optimized crystal structure of CoAgNO, as listed in OQMD via LeMat-Bulk.

Lattice parameters (Å, degrees): 3.0946 5.4412 5.9458 90.00 90.00 90.00
Last column: nearest neighbours and their distance in Å.
Fractional positions:
Ag 0.0000 0.5275 0.3871  2 N 2.12-2.14, 2 O 2.38
Ag 0.0000 0.0275 0.6129  2 N 2.12-2.14, 2 O 2.38
O 0.5000 0.3349 0.1393  2 Co 1.84-1.87
O 0.5000 0.8349 0.8607  2 Co 1.84-1.87
N 0.0000 0.9003 0.2750  2 Co 1.82
N 0.0000 0.4003 0.7250  2 Co 1.82
Co 0.5000 0.9914 0.1358  2 N 1.82, 2 O 1.84-1.87
Co 0.5000 0.4914 0.8642  2 N 1.82, 2 O 1.84-1.87

Summary:
E above lowest polymorph ... 0 kJ/mol of formula units
Space-group type ... Pmc2_1
Volume ... 100 Å³ per cell

First-principles (GGA+U) data for an optimized crystal structure of CoAgNO, as listed in OQMD via LeMat-Bulk.

Lattice parameters (Å, degrees): 3.8214 3.8214 6.7036 90.00 90.00 90.00
Last column: nearest neighbours and their distance in Å.
Fractional positions:
Co 0.2500 0.7500 0.5000  4 N 1.94
Co 0.7500 0.2500 0.5000  4 N 1.94
Ag 0.2500 0.2500 0.1435  4 O 2.14
Ag 0.7500 0.7500 0.8565  4 O 2.14
N 0.7500 0.7500 0.4534  4 Co 1.94
O 0.7500 0.2500 0.0000  4 Ag 2.14
O 0.2500 0.7500 0.0000  4 Ag 2.14
N 0.2500 0.2500 0.5466  4 Co 1.94

Summary:
E above lowest polymorph ... 127 kJ/mol of formula units
Space-group type ... P4/nmm
Volume ... 98 Å³ per cell

Q: Which of these has the highest volume?
A: number 1